Record 1
# PIF3 (PBE, relaxed)
data_PIF3
_space_group_name_H-M_alt 'P 1'
_space_group_IT_number 1
_space_group_name_Hall 'P 1'
_cell_length_a 4.655
_cell_length_b 4.655
_cell_length_c 4.655
_cell_angle_alpha 90.00
_cell_angle_beta 90.00
_cell_angle_gamma 90.00
loop_
_atom_site_label
_atom_site_type_symbol
_atom_site_fract_x
_atom_site_fract_y
_atom_site_fract_z
_atom_site_occupancy
P1 P 0.000 0.000 0.000 1
I1 I 0.500 0.500 0.500 1
F1 F 0.000 0.500 0.500 1
F2 F 0.500 0.000 0.500 1
F3 F 0.500 0.500 0.000 1
# Volume: 20.2 A^3/atom
# Uncorrected formation energy: -0.097 eV/atom
# D(E_F): 3.65 states/eV/f.u.
# Excess energy over the best structure of this formula in the dataset: 1.741 eV/atom

---

Record 2
# GdPtPbAu (PBE, relaxed)
data_GdPtPbAu
_space_group_name_H-M_alt 'P 1'
_space_group_IT_number 1
_space_group_name_Hall 'P 1'
_cell_length_a 5.008
_cell_length_b 5.008
_cell_length_c 5.008
_cell_angle_alpha 60.00
_cell_angle_beta 60.00
_cell_angle_gamma 60.00
loop_
_atom_site_label
_atom_site_type_symbol
_atom_site_fract_x
_atom_site_fract_y
_atom_site_fract_z
_atom_site_occupancy
Gd1 Gd 0.000 0.000 0.000 1
Pt1 Pt 0.750 0.750 0.750 1
Pb1 Pb 0.500 0.500 0.500 1
Au1 Au 0.250 0.250 0.250 1
# Volume: 22.2 A^3/atom
# D(E_F): 1.54 states/eV/f.u.
# Energy of formation: -659.0 meV/atom

---

Record 3
# Ca3TiAg (PBE, relaxed)
data_Ca3TiAg
_space_group_name_H-M_alt 'P 1'
_space_group_IT_number 1
_space_group_name_Hall 'P 1'
_cell_length_a 5.801
_cell_length_b 5.801
_cell_length_c 5.801
_cell_angle_alpha 90.00
_cell_angle_beta 90.00
_cell_angle_gamma 90.00
loop_
_atom_site_label
_atom_site_type_symbol
_atom_site_fract_x
_atom_site_fract_y
_atom_site_fract_z
_atom_site_occupancy
Ca1 Ca 0.000 0.000 0.500 1
Ca2 Ca 0.000 0.500 0.000 1
Ca3 Ca 0.500 0.000 0.000 1
Ti1 Ti 0.000 0.000 0.000 1
Ag1 Ag 0.500 0.500 0.500 1
# Volume: 39.0 A^3/atom
# D(E_F): 6.63 states/eV/f.u.
# Energy of formation: 815.1 meV/atom
# Excess energy over the best structure of this formula in the dataset: 0.224 eV/atom

---

Record 4
# Hg2Ru (PBE, relaxed)
data_Hg2Ru
_space_group_name_H-M_alt 'P 1'
_space_group_IT_number 1
_space_group_name_Hall 'P 1'
_cell_length_a 13.521
_cell_length_b 13.521
_cell_length_c 13.521
_cell_angle_alpha 167.34
_cell_angle_beta 167.34
_cell_angle_gamma 17.94
loop_
_atom_site_label
_atom_site_type_symbol
_atom_site_fract_x
_atom_site_fract_y
_atom_site_fract_z
_atom_site_occupancy
Hg1 Hg 0.300 0.550 0.750 1
Hg2 Hg 0.450 0.700 0.750 1
Hg3 Hg 0.550 0.300 0.250 1
Hg4 Hg 0.700 0.450 0.250 1
Ru1 Ru 0.125 0.875 0.250 1
Ru2 Ru 0.875 0.125 0.750 1
# Volume: 19.8 A^3/atom
# D(E_F): 2.08 states/eV/f.u.
# Energy of formation: 527.4 meV/atom

---

Calculated magnetic moment in order - 2.51; 7.14; 4.29; 2.83 μB/cell